[1]
10
Lattice="-2.490 4.131 -3.161 -1.833 -1.167 -5.342 -10.354 -1.611 0.791" Properties=species:S:1:pos:R:3 comment="Cd3Pb2 GGA-PBE optimized geometry" polymorph_energy_mev_per_atom=32 pbc="T T T"
Pb -9.362 1.495 -6.454
Pb -5.315 -0.141 -1.259
Pb -12.653 0.535 -5.115
Cd -4.915 2.406 -3.510
Cd -5.830 1.819 -6.181
Cd -10.092 1.598 -3.115
Cd -8.846 -0.465 -1.532
Cd -9.762 -1.052 -4.203
Cd -4.585 -0.245 -4.598
Pb -2.023 0.818 -2.598



[2]
## Hf2CoGe2 (GGA-PBE)

Data for a geometry-optimized Hf2CoGe2 structure.

The structure in extended XYZ format:
```
10
Lattice="4.130 0.000 0.000 0.000 6.000 0.000 -2.065 0.000 7.083" Properties=species:S:1:pos:R:3 pbc="T T T"
Hf 0.000 5.522 2.934
Hf 0.000 1.328 0.039
Hf 2.065 4.329 7.044
Ge 2.065 5.707 4.677
Ge 0.000 2.821 6.011
Ge 2.065 5.821 1.072
Hf 2.065 2.522 4.149
Co 0.000 0.429 5.710
Co 2.065 3.429 1.373
Ge 0.000 2.707 2.406
```



[3]
4
Lattice="-1.559 -2.894 3.346 2.977 -1.708 3.197 -0.238 1.470 4.448" Properties=species:S:1:pos:R:3 comment="LaMnMo2 GGA-PBE optimized geometry" polymorph_energy_mev_per_atom=233 pbc="T T T"
Mo 0.000 0.000 0.000
Mn 0.886 -2.349 8.243
Mo 0.295 -0.783 2.748
La 0.590 -1.566 5.496



[4]
## CeNdGe2 (GGA-PBE)

Data for a geometry-optimized CeNdGe2 structure.

The structure in extended XYZ format:
```
4
Lattice="-1.789 -2.007 -3.335 2.294 -2.791 -2.302 -1.875 -6.728 2.303" Properties=species:S:1:pos:R:3 pbc="T T T"
Ge -1.052 -8.705 -2.452
Nd -0.685 -5.763 -1.667
Ge -0.319 -2.821 -0.883
Ce 0.000 0.000 0.000
```



[5]
## LaTb2PrTm5 (GGA-PBE)

Data for a geometry-optimized LaTb2PrTm5 structure.

The structure in extended XYZ format:
```
18
Lattice="8.748 0.000 0.000 0.000 8.748 0.000 -4.374 -4.374 7.618" Properties=species:S:1:pos:R:3 pbc="T T T"
Tb 3.358 7.732 0.000
Tm -2.582 1.792 5.606
Tm 6.166 6.956 2.012
Tm 2.582 -1.792 5.606
La 4.374 4.374 3.809
Tm 1.792 2.582 5.606
Tm -1.792 -2.582 5.606
Tm 1.792 6.166 2.012
Pr 0.000 4.374 3.809
Tb 5.391 1.016 0.000
Tb 7.732 5.391 0.000
La 0.000 0.000 3.809
Tm 4.374 4.374 0.000
Tm 6.956 2.582 2.012
Tb 1.016 3.358 0.000
Tm 2.582 1.792 2.012
Tm 0.000 0.000 0.000
Pr 4.374 0.000 3.809
```



[6]
## Tm2AlFe2 (GGA-PBE)

Data for a geometry-optimized Tm2AlFe2 structure.

The structure in extended XYZ format:
```
10
Lattice="5.383 0.000 0.000 -2.692 4.490 -1.201 0.000 0.150 7.499" Properties=species:S:1:pos:R:3 pbc="T T T"
Tm 0.773 3.294 5.556
Tm 1.918 1.346 0.742
Tm -0.773 3.219 1.807
Tm 3.465 1.421 4.491
Al 4.714 0.037 1.875
Fe 4.566 1.312 -0.303
Fe 0.817 1.387 3.447
Fe -1.874 3.328 6.601
Fe 1.874 3.253 2.851
Al 0.669 0.112 5.624
```



Number 1: DFT formation energy 0.07 eV/atom, M_tot 0.000 μB/f.u., mass density 8695 kg/m3. Number 2: DFT formation energy -0.50 eV/atom, M_tot 0.000 μB/f.u., mass density 10619 kg/m3. Number 3: DFT formation energy 0.55 eV/atom, M_tot 1.943 μB/f.u., mass density 8777 kg/m3. Number 4: DFT formation energy -0.65 eV/atom, M_tot 0.000 μB/f.u., mass density 6481 kg/m3. Number 5: DFT formation energy 0.26 eV/atom, M_tot 0.001 μB/f.u., mass density 8216 kg/m3. Number 6: DFT formation energy -0.21 eV/atom, M_tot 1.239 μB/f.u., mass density 8685 kg/m3.